[1]
Crystalline Pr3Y2ErTe6 at its relaxed geometry, computed with PBE.

It has space group C2/m (No. 12), with a = 19.496 Å, b = 4.383 Å, c = 9.009 Å, α = 90.00°, β = 105.01° and γ = 90.00°. The distinct sites, in fractional coordinates, are Pr at (0.000, 0.000, 0.000), Pr at (0.168, 0.500, 0.333), Y at (0.168, 0.500, 0.834), Er at (0.000, 0.000, 0.500), Te at (0.003, 0.500, 0.739), Te at (0.162, 0.000, 0.590) and Te at (0.169, 0.000, 0.075).

For the density of states at the Fermi level, the calculation gives 0.504 states/eV/atom. The calculation puts the raw formation energy at -1.366 eV per atom. The total magnetization comes out at 0.000 μB per cell.

[2]
Crystalline SrTaSi2 at its relaxed geometry, computed with PBE.

It has space group Immm (No. 71), with a = 3.912 Å, b = 5.615 Å, c = 8.009 Å, α = 90.00°, β = 90.00° and γ = 90.00°. The distinct sites, in fractional coordinates, are Sr at (0.000, 0.000, 0.000), Ta at (0.000, 0.000, 0.500) and Si at (0.000, 0.500, 0.217).

The value obtained for the polymorph energy (0 for the lowest one) is 505.2 meV/atom. For the density of states at the Fermi level, the calculation gives 0.746 states/eV/atom. The calculation puts the raw formation energy at 0.325 eV per atom. The total magnetization comes out at 0.000 μB per cell.

[3]
Crystalline MgRe2P at its relaxed geometry, computed with PBE.

It has space group P4/mmm (No. 123), with a = 4.246 Å, b = 4.246 Å, c = 3.099 Å, α = 90.00°, β = 90.00° and γ = 90.00°. The distinct sites, in fractional coordinates, are Mg at (0.000, 0.000, 0.000), Re at (0.000, 0.500, 0.500) and P at (0.500, 0.500, 0.000).

The formation energy comes out at 0.43 eV per atom. The value obtained for the polymorph energy (0 for the lowest one) is 441.0 meV/atom. For the density of states at the Fermi level, the calculation gives 0.893 states/eV/atom. The total magnetization comes out at 0.000 μB per cell.

[4]
Crystalline Pm4Sm7Dy at its relaxed geometry, computed with PBE.

It has space group P-1 (No. 2), with a = 6.329 Å, b = 7.308 Å, c = 9.054 Å, α = 89.95°, β = 76.39° and γ = 89.94°. The distinct sites, in fractional coordinates, are Pm at (0.221, 0.000, 0.332), Pm at (0.279, 0.749, 0.669), Sm at (0.000, 0.000, 0.000), Sm at (0.220, 0.500, 0.332), Sm at (0.279, 0.251, 0.669), Sm at (0.500, 0.251, 0.000) and Dy at (0.000, 0.500, 0.000).

The formation energy comes out at 0.01 eV per atom. The value obtained for the polymorph energy (0 for the lowest one) is 0.0 meV/atom. For the density of states at the Fermi level, the calculation gives 1.380 states/eV/atom. The total magnetization comes out at 0.000 μB per cell.

[5]
Crystalline BaInRh2 at its relaxed geometry, computed with PBE.

It has space group P4/mmm (No. 123), with a = 3.412 Å, b = 3.412 Å, c = 7.409 Å, α = 90.00°, β = 90.00° and γ = 90.00°. The distinct sites, in fractional coordinates, are Ba at (0.000, 0.000, 0.000), In at (0.000, 0.000, 0.500) and Rh at (0.500, 0.500, 0.305).

The formation energy comes out at -0.11 eV per atom. For the density of states at the Fermi level, the calculation gives 0.621 states/eV/atom. The total magnetization comes out at 0.000 μB per cell.

[6]
Crystalline Ce2DySb at its relaxed geometry, computed with PBE.

It has space group P2_1/m (No. 11), with a = 4.397 Å, b = 4.338 Å, c = 11.636 Å, α = 90.00°, β = 100.63° and γ = 90.00°. The distinct sites, in fractional coordinates, are Ce at (0.006, 0.250, 0.121), Ce at (0.405, 0.250, 0.886), Dy at (0.304, 0.750, 0.610) and Sb at (0.175, 0.750, 0.338).

The value obtained for the polymorph energy (0 for the lowest one) is 0.0 meV/atom. For the density of states at the Fermi level, the calculation gives 1.842 states/eV/atom. The calculation puts the raw formation energy at -0.578 eV per atom. The total magnetization comes out at 0.001 μB per cell.

[7]
Crystalline Nb2Pt2Rh at its relaxed geometry, computed with PBE.

It has space group C2/m (No. 12), with a = 4.666 Å, b = 7.511 Å, c = 5.283 Å, α = 90.00°, β = 91.53° and γ = 90.00°. The distinct sites, in fractional coordinates, are Nb at (0.022, 0.000, 0.261), Pt at (0.000, 0.329, 0.500) and Rh at (0.000, 0.500, 0.000).

The formation energy comes out at -0.06 eV per atom. The value obtained for the polymorph energy (0 for the lowest one) is 426.6 meV/atom. For the density of states at the Fermi level, the calculation gives 0.820 states/eV/atom. The total magnetization comes out at 0.000 μB per cell.

[8]
Crystalline Tm4GaI5 at its relaxed geometry, computed with PBE.

It has space group C2/m (No. 12), with a = 19.002 Å, b = 4.186 Å, c = 8.679 Å, α = 90.00°, β = 102.37° and γ = 90.00°. The distinct sites, in fractional coordinates, are Tm at (0.000, 0.000, 0.210), Tm at (0.146, 0.500, 0.074), Ga at (0.000, 0.500, 0.000), I at (0.000, 0.500, 0.500), I at (0.167, 0.000, 0.337) and I at (0.174, 0.000, 0.832).

For the density of states at the Fermi level, the calculation gives 0.453 states/eV/atom. The calculation puts the raw formation energy at -1.017 eV per atom. The total magnetization comes out at 0.000 μB per cell.

[9]
Crystalline Nd3YTl3Te8 at its relaxed geometry, computed with PBE.

It has space group C2/m (No. 12), with a = 15.612 Å, b = 9.003 Å, c = 9.675 Å, α = 90.00°, β = 122.54° and γ = 90.00°. The distinct sites, in fractional coordinates, are Nd at (0.000, 0.000, 0.000), Nd at (0.250, 0.250, 0.000), Y at (0.000, 0.500, 0.000), Tl at (0.000, 0.500, 0.500), Tl at (0.250, 0.250, 0.500), Te at (0.009, 0.255, 0.781), Te at (0.236, 0.500, 0.219) and Te at (0.241, 0.000, 0.224).

For the density of states at the Fermi level, the calculation gives 0.461 states/eV/atom. The calculation puts the raw formation energy at -1.065 eV per atom. The total magnetization comes out at 0.000 μB per cell.

[10]
Crystalline Pm2MgRhO5 at its relaxed geometry, computed with PBE.

It has space group P4/mbm (No. 127), with a = 6.663 Å, b = 6.663 Å, c = 5.762 Å, α = 90.00°, β = 90.00° and γ = 90.00°. The distinct sites, in fractional coordinates, are Pm at (0.172, 0.328, 0.000), Mg at (0.000, 0.000, 0.500), Rh at (0.000, 0.500, 0.500), O at (0.000, 0.000, 0.000) and O at (0.146, 0.646, 0.253).

For the density of states at the Fermi level, the calculation gives 0.776 states/eV/atom. The calculation puts the raw formation energy at -2.155 eV per atom. The total magnetization comes out at 2.067 μB per cell.

[11]
Crystalline ScCdRe at its relaxed geometry, computed with PBE.

It has space group P3m1 (No. 156), with a = 4.7933 Å, b = 4.7933 Å, c = 2.7573 Å, α = 90.00°, β = 90.00° and γ = 120.00°. The distinct sites, in fractional coordinates, are Sc at (0.0000, 0.0000, 0.0000), Cd at (0.6667, 0.3333, 0.3561) and Re at (0.3333, 0.6667, 0.6433).

The formation energy comes out at 0.24 eV per atom. The value obtained for the polymorph energy (0 for the lowest one) is 39.0 meV/atom. For the density of states at the Fermi level, the calculation gives 0.880 states/eV/atom. The total magnetization comes out at 0.000 μB per cell.

[12]
Crystalline Cu2Ag2Pt at its relaxed geometry, computed with PBE.

It has space group P4/mbm (No. 127), with a = 6.466 Å, b = 6.466 Å, c = 3.764 Å, α = 90.00°, β = 90.00° and γ = 90.00°. The distinct sites, in fractional coordinates, are Cu at (0.130, 0.370, 0.000), Ag at (0.172, 0.672, 0.500) and Pt at (0.000, 0.000, 0.000).

The formation energy comes out at 0.13 eV per atom. The value obtained for the polymorph energy (0 for the lowest one) is 0.0 meV/atom. For the density of states at the Fermi level, the calculation gives 0.115 states/eV/atom. The total magnetization comes out at 0.000 μB per cell.